(1)
DFT (PBE+U) results for crystalline NiRuO2F at its relaxed geometry.

```
NiRuO2F
1.0
3.776 0.000 0.000
0.000 3.776 0.000
0.000 0.000 4.444
Ru F O Ni
1 1 2 1
Direct
0.000 0.000 0.000
0.000 0.000 0.500
0.000 0.500 0.000
0.500 0.000 0.000
0.500 0.500 0.500
```

Values from the calculation:
E_tot   -5.23 eV/atom


(2)
DFT (PBE+U) results for crystalline NiRuOF2 at its relaxed geometry.

```
NiRuOF2
1.0
4.231 0.000 0.000
0.000 4.231 0.000
0.000 0.000 3.735
Ru F O Ni
1 2 1 1
Direct
0.000 0.000 0.000
0.000 0.500 0.000
0.500 0.000 0.000
0.000 0.000 0.500
0.500 0.500 0.500
```

Values from the calculation:
E_tot   -4.76 eV/atom
ΔE to the lowest computed polymorph   0.0 meV/atom


(3)
DFT (PBE+U) results for crystalline NiS2O6F2 at its relaxed geometry.

```
NiS2O6F2
1.0
5.035 0.000 0.000
-2.518 4.361 0.000
0.000 0.000 6.989
Ni S O F
1 2 6 2
Direct
0.000 0.000 0.000
0.333 0.667 0.779
0.667 0.333 0.221
0.288 0.365 0.826
0.078 0.712 0.826
0.635 0.922 0.826
0.712 0.635 0.174
0.922 0.288 0.174
0.365 0.078 0.174
0.333 0.667 0.553
0.667 0.333 0.447
```

Values from the calculation:
E_tot   -5.49 eV/atom


(4)
DFT (PBE+U) results for crystalline Ni3Sb4O6F6 at its relaxed geometry.

```
Ni3Sb4O6F6
1.0
-3.122 6.080 -1.907
1.895 -3.609 -5.807
-4.536 -3.889 3.826
Ni Sb O F
3 4 6 6
Direct
0.500 0.500 0.000
0.500 0.000 0.500
0.000 0.500 0.500
0.324 0.000 0.000
0.676 0.676 0.676
0.000 0.000 0.324
0.000 0.324 0.000
0.252 0.252 0.000
0.748 0.000 0.748
0.000 0.252 0.252
0.748 0.748 0.000
0.252 0.000 0.252
0.000 0.748 0.748
0.500 0.250 0.750
0.250 0.750 0.500
0.250 0.500 0.750
0.500 0.750 0.250
0.750 0.500 0.250
0.750 0.250 0.500
```

Values from the calculation:
E_tot   -5.17 eV/atom


(5)
DFT (PBE+U) results for crystalline ScNiO2F at its relaxed geometry.

```
ScNiO2F
1.0
3.868 0.000 0.000
0.000 3.868 0.000
0.000 0.000 3.695
Sc Ni O F
1 1 2 1
Direct
0.500 0.500 0.500
0.000 0.000 0.000
0.000 0.500 0.000
0.500 0.000 0.000
0.000 0.000 0.500
```

Values from the calculation:
E_tot   -5.93 eV/atom


(6)
DFT (PBE+U) results for crystalline ScNiO2F at its relaxed geometry.

```
ScNiO2F
1.0
4.084 0.000 0.000
0.000 4.084 0.000
0.000 0.000 3.925
Sc Ni O F
1 1 2 1
Direct
0.000 0.000 0.000
0.500 0.500 0.500
0.000 0.500 0.000
0.500 0.000 0.000
0.000 0.000 0.500
```

Values from the calculation:
E_tot   -5.95 eV/atom


(7)
DFT (PBE+U) results for crystalline NiSeO2F at its relaxed geometry.

```
NiSeO2F
1.0
3.917 0.000 0.000
0.000 3.917 0.000
0.000 0.000 4.285
Ni O Se F
1 2 1 1
Direct
0.500 0.500 0.500
0.000 0.500 0.000
0.500 0.000 0.000
0.000 0.000 0.000
0.000 0.000 0.500
```

Values from the calculation:
E_tot   -3.64 eV/atom


(8)
DFT (PBE+U) results for crystalline NiSeOF2 at its relaxed geometry.

```
NiSeOF2
1.0
4.507 0.000 0.000
0.000 4.507 0.000
0.000 0.000 3.759
Ni O Se F
1 1 1 2
Direct
0.500 0.500 0.500
0.000 0.000 0.500
0.000 0.000 0.000
0.000 0.500 0.000
0.500 0.000 0.000
```

Values from the calculation:
E_tot   -3.15 eV/atom
ΔE to the lowest computed polymorph   502.8 meV/atom


(9)
DFT (PBE+U) results for crystalline NiSeOF2 at its relaxed geometry.

```
NiSeOF2
1.0
-2.796 -1.767 1.891
2.283 -0.373 3.028
-1.407 3.871 1.537
Ni O Se F
1 1 1 2
Direct
0.000 0.000 0.000
0.000 0.000 0.500
0.500 0.500 0.500
0.000 0.500 0.000
0.500 0.000 0.000
```

Values from the calculation:
E_tot   -3.65 eV/atom
ΔE to the lowest computed polymorph   0.0 meV/atom


(10)
DFT (PBE+U) results for crystalline NiSeO2F at its relaxed geometry.

```
NiSeO2F
1.0
3.900 0.000 0.000
0.000 3.900 0.000
0.000 0.000 3.770
Ni O Se F
1 2 1 1
Direct
0.000 0.000 0.000
0.000 0.500 0.000
0.500 0.000 0.000
0.500 0.500 0.500
0.000 0.000 0.500
```

Values from the calculation:
E_tot   -3.84 eV/atom


(11)
DFT (PBE+U) results for crystalline SiNiOF2 at its relaxed geometry.

```
SiNiOF2
1.0
-2.229 2.935 -1.815
0.006 -2.158 -3.496
-2.844 -1.565 0.961
Ni Si O F
1 1 1 2
Direct
0.500 0.500 0.500
0.000 0.000 0.000
0.000 0.000 0.500
0.000 0.500 0.000
0.500 0.000 0.000
```

Values from the calculation:
E_tot   -4.37 eV/atom
ΔE to the lowest computed polymorph   14.8 meV/atom


(12)
DFT (PBE+U) results for crystalline SiNiOF2 at its relaxed geometry.

```
SiNiOF2
1.0
-1.235 3.632 0.073
-1.079 -0.293 -3.670
-3.717 -1.288 1.196
Ni Si O F
1 1 1 2
Direct
0.000 0.000 0.000
0.500 0.500 0.500
0.000 0.000 0.500
0.000 0.500 0.000
0.500 0.000 0.000
```

Values from the calculation:
E_tot   -4.39 eV/atom
ΔE to the lowest computed polymorph   0.0 meV/atom


(13)
DFT (PBE+U) results for crystalline NiSnOF2 at its relaxed geometry.

```
NiSnOF2
1.0
3.959 0.000 0.000
0.000 3.959 0.000
0.000 0.000 4.146
Ni Sn O F
1 1 1 2
Direct
0.000 0.000 0.000
0.500 0.500 0.500
0.000 0.000 0.500
0.000 0.500 0.000
0.500 0.000 0.000
```

Values from the calculation:
E_tot   -4.60 eV/atom
ΔE to the lowest computed polymorph   0.0 meV/atom


(14)
DFT (PBE+U) results for crystalline NiSnOF2 at its relaxed geometry.

```
NiSnOF2
1.0
4.374 0.000 0.000
0.000 4.374 0.000
0.000 0.000 4.116
Ni Sn O F
1 1 1 2
Direct
0.500 0.500 0.500
0.000 0.000 0.000
0.000 0.000 0.500
0.000 0.500 0.000
0.500 0.000 0.000
```

Values from the calculation:
E_tot   -4.16 eV/atom
ΔE to the lowest computed polymorph   438.9 meV/atom


(15)
DFT (PBE+U) results for crystalline TaNiOF2 at its relaxed geometry.

```
TaNiOF2
1.0
-3.311 0.699 -2.373
-2.445 -1.529 2.961
-0.357 3.570 1.549
Ni F O Ta
1 2 1 1
Direct
0.500 0.500 0.500
0.000 0.500 0.000
0.500 0.000 0.000
0.000 0.000 0.500
0.000 0.000 0.000
```

Values from the calculation:
E_tot   -5.79 eV/atom
ΔE to the lowest computed polymorph   0.0 meV/atom


(16)
DFT (PBE+U) results for crystalline TaNiO2F at its relaxed geometry.

```
TaNiO2F
1.0
-3.549 -0.430 0.689
0.349 -3.596 -0.451
0.816 -0.415 3.942
Ni F O Ta
1 1 2 1
Direct
0.000 0.000 0.000
0.000 0.000 0.500
0.000 0.500 0.000
0.500 0.000 0.000
0.500 0.500 0.500
```

Values from the calculation:
E_tot   -5.55 eV/atom


(17)
DFT (PBE+U) results for crystalline TaNiOF2 at its relaxed geometry.

```
TaNiOF2
1.0
3.778 0.000 0.000
0.000 3.778 0.000
0.000 0.000 4.329
Ni F O Ta
1 2 1 1
Direct
0.000 0.000 0.000
0.000 0.500 0.000
0.500 0.000 0.000
0.000 0.000 0.500
0.500 0.500 0.500
```

Values from the calculation:
E_tot   -5.29 eV/atom
ΔE to the lowest computed polymorph   494.6 meV/atom


(18)
DFT (PBE+U) results for crystalline TaNiO2F at its relaxed geometry.

```
TaNiO2F
1.0
3.935 0.000 0.000
0.000 3.935 0.000
0.000 0.000 4.112
Ni F O Ta
1 1 2 1
Direct
0.500 0.500 0.500
0.000 0.000 0.500
0.000 0.500 0.000
0.500 0.000 0.000
0.000 0.000 0.000
```

Values from the calculation:
E_tot   -6.58 eV/atom


(19)
DFT (PBE+U) results for crystalline TcNiO2F at its relaxed geometry.

```
TcNiO2F
1.0
3.818 0.000 0.000
0.000 3.818 0.000
0.000 0.000 4.317
Ni Tc O F
1 1 2 1
Direct
0.500 0.500 0.500
0.000 0.000 0.000
0.000 0.500 0.000
0.500 0.000 0.000
0.000 0.000 0.500
```

Values from the calculation:
E_tot   -5.57 eV/atom


(20)
DFT (PBE+U) results for crystalline TcNiO4F at its relaxed geometry.

```
TcNiO4F
1.0
5.515 -0.381 0.696
1.467 5.330 0.696
2.186 1.550 7.710
Tc Ni O F
2 2 8 2
Direct
0.637 0.637 0.697
0.363 0.363 0.303
0.160 0.160 0.817
0.840 0.840 0.183
0.209 0.209 0.540
0.791 0.791 0.460
0.132 0.536 0.197
0.572 0.572 0.281
0.464 0.868 0.803
0.536 0.132 0.197
0.428 0.428 0.719
0.868 0.464 0.803
0.096 0.096 0.083
0.904 0.904 0.917
```

Values from the calculation:
E_tot   -6.42 eV/atom


Calculated values (μB per formula unit) of spin magnetization for the records, taken in order: 1.91 0.79 1.98 5.94 1.87 2.01 1.45 1.50 3.36 1.62 0.85 2.00 2.00 1.03 0.00 0.00 0.94 0.01 1.21 1.94.